The following is a DFT calculation (PBE) of a geometry-optimized Sr2BiPt2 structure.

The total magnetization comes out at 0.000 μB/cell. The final energy comes out at -93.5 eV/cell. For the calculated formation energy, the calculation gives -392 kJ/mol of formula units.

It has space group C2/c (No. 15), with a = 10.5072 Å, b = 5.9667 Å, c = 8.7016 Å, α = 90.00°, β = 104.17° and γ = 90.00°. The asymmetric unit holds Sr at (0.1488, 0.1502, 0.1499), Bi at (0.0000, 0.3409, 0.7500) and Pt at (0.1399, 0.3666, 0.4879).